Record 1
Computed, not measured: an optimized crystal structure of VPS2Cl at the PBE level of DFT.

## Properties
Volume, A^3/atom: 19.1
ΔE_f (raw), meV/atom: 65

```
VPS2Cl
1.0
4.416 0.000 0.000
0.000 4.416 0.000
0.000 0.000 4.906
V S P Cl
1 2 1 1
Direct
0.000 0.000 0.000 V
0.500 0.000 0.000 S
0.000 0.500 0.000 S
0.000 0.000 0.500 P
0.500 0.500 0.500 Cl
```

Record 2
Computed, not measured: an optimized crystal structure of VP2SCl at the PBE level of DFT.

## Properties
Volume, A^3/atom: 18.9
ΔE_f (raw), meV/atom: 1272

```
VP2SCl
1.0
4.487 0.000 0.000
0.000 4.487 0.000
0.000 0.000 4.702
Cl P S V
1 2 1 1
Direct
0.000 0.000 0.000 Cl
0.500 0.000 0.000 P
0.000 0.500 0.000 P
0.000 0.000 0.500 S
0.500 0.500 0.500 V
```